[1]
Compound: CsGa2Sn4
Source: Alexandria via LeMat-Bulk
Functional: GGA-PBE
Structure: relaxed

Summary:
D(E_F) in states/eV per cell: 7.4
Calculated formation energy in meV per atom: -55

abc: 5.2001 15.3539 5.2859
angles: 90.00 90.00 90.00
With the nearest neighbours (Å) after each atom.
Space group Cmmm (No. 65)
Unique sites:
1 Cs 0.0000 0.0000 0.0000  8 Sn 3.90-3.96, 8 Ga 3.98
2 Ga 0.0000 0.4054 0.5000  1 Ga 2.91, 4 Sn 2.96-3.06
3 Sn 0.0000 0.1869 0.5000  2 Ga 2.96, 4 Sn 3.21-3.24
4 Sn 0.0000 0.3053 0.0000  2 Ga 3.06, 4 Sn 3.10-3.21

[2]
Compound: PrPuTeO2
Source: Alexandria via LeMat-Bulk
Functional: GGA-PBE
Structure: relaxed

Summary:
D(E_F) in states/eV per cell: 21.6
Uncorrected energy in eV/f.u.: -45.3

abc: 4.0359 4.0359 12.9258
angles: 90.00 90.00 90.00
With the nearest neighbours (Å) after each atom.
Space group I4mm (No. 107)
Unique sites:
1 Pr 0.0000 0.0000 0.0000  4 O 2.37
2 Pu 0.0000 0.0000 0.3150  4 O 2.32
3 Te 0.0000 0.0000 0.6590  4 Pu 3.49, 4 Pr 3.52, 8 O 3.75-3.87
4 O 0.0000 0.5000 0.4037  2 Pu 2.32, 2 Pr 2.37

[3]
Compound: BaTaSn2
Source: Alexandria via LeMat-Bulk
Functional: GGA-PBE
Structure: relaxed

Summary:
D(E_F) in states/eV per cell: 22.3
Calculated formation energy in meV per atom: 298

abc: 5.9263 5.9263 18.0418
angles: 90.00 90.00 90.00
With the nearest neighbours (Å) after each atom.
Space group I-42d (No. 122)
Unique sites:
1 Ba 0.0000 0.0000 0.0000  8 Sn 3.84-4.18, 4 Ta 4.19
2 Ta 0.0000 0.0000 0.5000  4 Sn 2.71
3 Sn 0.0388 0.2500 0.6250  2 Ta 2.71, 2 Sn 3.00

[4]
Compound: K3RbIn2
Source: Alexandria via LeMat-Bulk
Functional: GGA-PBE
Structure: relaxed

Summary:
D(E_F) in states/eV per cell: 16.7
Calculated formation energy in meV per atom: -50

abc: 20.8947 5.1450 14.5519
angles: 90.00 122.55 90.00
With the nearest neighbours (Å) after each atom.
Space group C2/m (No. 12)
Unique sites:
1 K 0.0799 0.0000 0.4267  3 In 3.61-3.74
2 K 0.0825 0.0000 0.9421  3 In 3.66-3.72
3 K 0.1608 0.5000 0.2376  4 In 3.71-4.00
4 Rb 0.1536 0.5000 0.7280  4 In 3.82-4.00
5 In 0.2337 0.5000 0.0337  2 In 2.96
6 In 0.2341 0.5000 0.5333  2 In 2.95

[5]
Compound: LaZr2ScN
Source: Alexandria via LeMat-Bulk
Functional: GGA-PBE
Structure: relaxed

Summary:
D(E_F) in states/eV per cell: 6.4
Uncorrected energy in eV/f.u.: -39.5

abc: 4.5453 4.5453 5.2116
angles: 90.00 90.00 90.00
With the nearest neighbours (Å) after each atom.
Space group P4/mmm (No. 123)
Unique sites:
1 La 0.0000 0.0000 0.0000  2 N 2.61
2 Zr 0.0000 0.5000 0.5000  2 N 2.27
3 Sc 0.5000 0.5000 0.0000  4 La 3.21, 8 Zr 3.46
4 N 0.0000 0.0000 0.5000  4 Zr 2.27

[6]
Compound: CeSbSe3
Source: Alexandria via LeMat-Bulk
Functional: GGA-PBE
Structure: relaxed

Summary:
D(E_F) in states/eV per cell: 12.5
Uncorrected energy in eV/f.u.: -25.4

abc: 7.5825 4.3472 10.2897
angles: 90.00 104.99 90.00
With the nearest neighbours (Å) after each atom.
Space group P2_1/m (No. 11)
Unique sites:
1 Ce 0.2394 0.2500 0.4842  6 Se 2.92-2.99
2 Sb 0.3664 0.2500 0.8520  4 Se 2.77-3.05
3 Se 0.0158 0.7500 0.3382  3 Ce 2.92-2.99, 1 Sb 3.05
4 Se 0.2772 0.7500 0.9915  3 Sb 2.77-2.78
5 Se 0.4598 0.7500 0.6486  3 Ce 2.95-2.99, 2 Sb 3.22